## CeSmHoCd (GGA-PBE)

Data for a geometry-optimized CeSmHoCd structure.

extended XYZ file:
```
4
Lattice="5.418 0.000 0.000 2.709 4.692 0.000 2.709 1.564 4.424" Properties=species:S:1:pos:R:3 pbc="T T T"
Cd 8.127 4.692 3.318
Ce 2.709 1.564 1.106
Ho 5.418 3.128 2.212
Sm 0.000 0.000 0.000
```

The energy relative to the elements comes out at 0.06 eV per atom.

## TbCeHoCd (GGA-PBE)

Data for a geometry-optimized TbCeHoCd structure.

extended XYZ file:
```
4
Lattice="5.382 0.000 0.000 2.691 4.661 0.000 2.691 1.554 4.395" Properties=species:S:1:pos:R:3 pbc="T T T"
Ho 0.000 0.000 0.000
Ce 2.691 1.554 1.099
Tb 5.382 3.107 2.197
Cd 8.073 4.661 3.296
```

The energy relative to the elements comes out at 0.06 eV per atom.

## CeHoZrCd (GGA-PBE)

Data for a geometry-optimized CeHoZrCd structure.

extended XYZ file:
```
4
Lattice="5.287 0.000 0.000 2.644 4.579 0.000 2.644 1.526 4.317" Properties=species:S:1:pos:R:3 pbc="T T T"
Ce 0.000 0.000 0.000
Zr 2.644 1.526 1.079
Ho 5.287 3.053 2.158
Cd 7.931 4.579 3.238
```

The energy relative to the elements comes out at 0.06 eV per atom.

## CeCdI5 (GGA-PBE)

Data for a geometry-optimized CeCdI5 structure.

extended XYZ file:
```
14
Lattice="-6.840 -3.178 -3.424 4.476 -0.990 -6.899 4.136 -7.433 8.328" Properties=species:S:1:pos:R:3 pbc="T T T"
I -0.451 -5.148 -3.415
I 4.366 -5.466 -2.186
I -0.876 -8.819 3.085
I -0.208 -9.190 -1.596
I -2.595 -6.136 0.191
I 1.980 -2.411 -0.399
I 2.223 -6.454 1.420
I -1.025 -3.168 -7.641
I 2.797 -8.433 5.646
I 2.648 -2.782 -5.080
Ce 0.000 0.000 0.000
Ce 4.306 -4.212 0.714
Cd 1.075 -6.929 4.004
Cd 0.697 -4.672 -5.999
```

Its energy relative to the elements, uncorrected is -971 meV/atom.

## Ce7CdI12 (GGA-PBE)

Data for a geometry-optimized Ce7CdI12 structure.

extended XYZ file:
```
20
Lattice="9.661 -0.278 -2.989 -3.977 8.809 -2.989 -0.185 -0.278 10.111" Properties=species:S:1:pos:R:3 pbc="T T T"
Ce 6.413 5.303 4.084
Ce 0.902 0.293 2.940
Ce 4.597 7.961 1.193
Ce 2.802 0.945 -0.892
Ce 2.749 4.127 2.066
Ce -0.914 2.950 0.049
Ce 2.697 7.308 5.024
I 5.759 1.811 -1.998
I 1.581 7.129 2.007
I 5.667 4.930 0.961
I -0.260 6.443 6.131
I -2.072 6.012 0.030
I 3.705 7.850 -1.955
I 3.588 4.205 5.177
I 1.911 4.049 -1.044
I -0.168 3.323 3.172
I 1.794 0.404 6.088
I 3.918 1.124 2.126
I 7.570 2.241 4.103
Cd 0.000 0.000 0.000
```

Its energy relative to the elements, uncorrected is -1071 meV/atom.

## CeCd2I8 (GGA-PBE)

Data for a geometry-optimized CeCd2I8 structure.

extended XYZ file:
```
11
Lattice="7.242 -0.006 -0.126 -0.070 8.237 -4.459 -0.026 -0.383 9.130" Properties=species:S:1:pos:R:3 pbc="T T T"
Cd 2.640 6.500 2.128
Cd 4.507 1.347 2.417
I 2.037 5.247 -0.178
I 5.410 6.892 -2.483
I 1.737 0.955 7.028
I 5.448 2.462 -0.085
I 1.602 1.247 2.279
I 5.544 6.600 2.266
I 5.109 2.600 4.723
I 1.699 5.385 4.630
Ce 0.000 0.000 0.000
```

Its energy relative to the elements, uncorrected is -781 meV/atom.